# 1
Entry from the Alexandria database: an optimized crystal structure of K2ZnPb (PBE).

Summary:
ΔH_f (0 K) ... 0.0829 eV per atom

```
data_K2ZnPb
_cell_length_a 12.475
_cell_length_b 12.475
_cell_length_c 5.272
_cell_angle_alpha 90.00
_cell_angle_beta 90.00
_cell_angle_gamma 90.00
_symmetry_space_group_name_H-M 'I -4 2 d'
_symmetry_Int_Tables_number 122
_symmetry_space_group_name_Hall 'I -4 2bw'
loop_
_atom_site_label
_atom_site_fract_x
_atom_site_fract_y
_atom_site_fract_z
K1 0.088 0.250 0.125
Zn1 0.000 0.000 0.000
Pb1 0.000 0.000 0.500
```



# 2
Entry from the Alexandria database: an optimized crystal structure of K2ZnPb (PBE).

Summary:
ΔH_f (0 K) ... 0.0259 eV per atom

```
data_K2ZnPb
_cell_length_a 5.622
_cell_length_b 5.622
_cell_length_c 7.941
_cell_angle_alpha 90.00
_cell_angle_beta 90.00
_cell_angle_gamma 90.00
_symmetry_space_group_name_H-M 'I -4 m 2'
_symmetry_Int_Tables_number 119
_symmetry_space_group_name_Hall 'I -4 -2'
loop_
_atom_site_label
_atom_site_fract_x
_atom_site_fract_y
_atom_site_fract_z
K1 0.000 0.000 0.000
K2 0.000 0.500 0.250
Zn1 0.000 0.500 0.750
Pb1 0.000 0.000 0.500
```



# 3
Entry from the Alexandria database: an optimized crystal structure of K2ZnPb (PBE).

Summary:
ΔH_f (0 K) ... 0.0496 eV per atom

```
data_K2ZnPb
_cell_length_a 5.282
_cell_length_b 5.990
_cell_length_c 10.233
_cell_angle_alpha 90.00
_cell_angle_beta 90.00
_cell_angle_gamma 90.00
_symmetry_space_group_name_H-M 'C m m 2'
_symmetry_Int_Tables_number 35
loop_
_symmetry_equiv_pos_as_xyz
'x,y,z'
'-x,-y,z'
'-x,y,z'
'x,-y,z'
'x+1/2,y+1/2,z'
'-x+1/2,-y+1/2,z'
'-x+1/2,y+1/2,z'
'x+1/2,-y+1/2,z'
loop_
_atom_site_label
_atom_site_fract_x
_atom_site_fract_y
_atom_site_fract_z
K1 0.000 0.000 0.000
K2 0.000 0.500 0.391
Zn1 0.000 0.500 0.766
Pb1 0.000 0.000 0.645
```



# 4
Entry from the Alexandria database: an optimized crystal structure of K2Zn2Pb (PBE).

Summary:
ΔH_f (0 K) ... 0.2872 eV per atom
Relative energy among the computed polymorphs ... 264 meV/atom

```
data_K2Zn2Pb
_cell_length_a 4.947
_cell_length_b 4.947
_cell_length_c 13.677
_cell_angle_alpha 90.00
_cell_angle_beta 90.00
_cell_angle_gamma 90.00
_symmetry_space_group_name_H-M 'I 4/m m m'
_symmetry_Int_Tables_number 139
_symmetry_space_group_name_Hall '-I 4 2'
loop_
_atom_site_label
_atom_site_fract_x
_atom_site_fract_y
_atom_site_fract_z
K1 0.000 0.500 0.250
Zn1 0.000 0.000 0.089
Pb1 0.000 0.000 0.500
```



# 5
Entry from the Alexandria database: an optimized crystal structure of K2ZnPb (PBE).

Summary:
ΔH_f (0 K) ... -0.0679 eV per atom

```
data_K2ZnPb
_cell_length_a 11.754
_cell_length_b 4.871
_cell_length_c 6.237
_cell_angle_alpha 90.00
_cell_angle_beta 121.93
_cell_angle_gamma 90.00
_symmetry_space_group_name_H-M 'C 1 m 1'
_symmetry_Int_Tables_number 8
loop_
_symmetry_equiv_pos_as_xyz
'x,y,z'
'x,-y,z'
'x+1/2,y+1/2,z'
'x+1/2,-y+1/2,z'
loop_
_atom_site_label
_atom_site_fract_x
_atom_site_fract_y
_atom_site_fract_z
K1 0.000 0.000 0.000
K2 0.191 0.000 0.691
Zn1 0.399 0.000 0.399
Pb1 0.286 0.500 0.286
```



# 6
Entry from the Alexandria database: an optimized crystal structure of KZn2Pb2 (PBE).

Summary:
ΔH_f (0 K) ... -0.0043 eV per atom
Relative energy among the computed polymorphs ... 46 meV/atom

```
data_KZn2Pb2
_cell_length_a 4.830
_cell_length_b 4.830
_cell_length_c 12.382
_cell_angle_alpha 90.00
_cell_angle_beta 90.00
_cell_angle_gamma 90.00
_symmetry_space_group_name_H-M 'I 4/m m m'
_symmetry_Int_Tables_number 139
_symmetry_space_group_name_Hall '-I 4 2'
loop_
_atom_site_label
_atom_site_fract_x
_atom_site_fract_y
_atom_site_fract_z
K1 0.000 0.000 0.000
Zn1 0.000 0.500 0.250
Pb1 0.000 0.000 0.374
```



# 7
Entry from the Alexandria database: an optimized crystal structure of KZn2Pb2 (PBE).

Summary:
ΔH_f (0 K) ... -0.0503 eV per atom
Relative energy among the computed polymorphs ... 0 meV/atom

```
data_KZn2Pb2
_cell_length_a 4.909
_cell_length_b 4.909
_cell_length_c 11.851
_cell_angle_alpha 90.00
_cell_angle_beta 90.00
_cell_angle_gamma 90.00
_symmetry_space_group_name_H-M 'I 4/m m m'
_symmetry_Int_Tables_number 139
_symmetry_space_group_name_Hall '-I 4 2'
loop_
_atom_site_label
_atom_site_fract_x
_atom_site_fract_y
_atom_site_fract_z
K1 0.000 0.000 0.000
Zn1 0.000 0.000 0.394
Pb1 0.000 0.500 0.250
```



# 8
Entry from the Alexandria database: an optimized crystal structure of KZn2Pb2 (PBE).

Summary:
ΔH_f (0 K) ... 0.0592 eV per atom
Relative energy among the computed polymorphs ... 110 meV/atom

```
data_KZn2Pb2
_cell_length_a 8.706
_cell_length_b 8.706
_cell_length_c 3.586
_cell_angle_alpha 90.00
_cell_angle_beta 90.00
_cell_angle_gamma 90.00
_symmetry_space_group_name_H-M 'P 4/m b m'
_symmetry_Int_Tables_number 127
_symmetry_space_group_name_Hall '-P 4 2ab'
loop_
_atom_site_label
_atom_site_fract_x
_atom_site_fract_y
_atom_site_fract_z
K1 0.000 0.000 0.000
Zn1 0.126 0.374 0.000
Pb1 0.158 0.658 0.500
```



# 9
Entry from the Alexandria database: an optimized crystal structure of K2Zn2Pb (PBE).

Summary:
ΔH_f (0 K) ... 0.0618 eV per atom
Relative energy among the computed polymorphs ... 38 meV/atom

```
data_K2Zn2Pb
_cell_length_a 3.660
_cell_length_b 3.660
_cell_length_c 23.670
_cell_angle_alpha 90.00
_cell_angle_beta 90.00
_cell_angle_gamma 90.00
_symmetry_space_group_name_H-M 'I 4/m m m'
_symmetry_Int_Tables_number 139
_symmetry_space_group_name_Hall '-I 4 2'
loop_
_atom_site_label
_atom_site_fract_x
_atom_site_fract_y
_atom_site_fract_z
K1 0.000 0.000 0.117
Zn1 0.000 0.500 0.250
Pb1 0.000 0.000 0.500
```



# 10
Entry from the Alexandria database: an optimized crystal structure of K2ZnPb (PBE).

Summary:
ΔH_f (0 K) ... 0.1007 eV per atom

```
data_K2ZnPb
_cell_length_a 6.396
_cell_length_b 6.396
_cell_length_c 3.617
_cell_angle_alpha 90.00
_cell_angle_beta 90.00
_cell_angle_gamma 90.00
_symmetry_space_group_name_H-M 'P 4/m m m'
_symmetry_Int_Tables_number 123
_symmetry_space_group_name_Hall '-P 4 2'
loop_
_atom_site_label
_atom_site_fract_x
_atom_site_fract_y
_atom_site_fract_z
K1 0.000 0.500 0.000
Zn1 0.000 0.000 0.500
Pb1 0.500 0.500 0.500
```



# 11
Entry from the Alexandria database: an optimized crystal structure of K2ZnPb (PBE).

Summary:
ΔH_f (0 K) ... 0.1119 eV per atom

```
data_K2ZnPb
_cell_length_a 3.749
_cell_length_b 5.549
_cell_length_c 6.784
_cell_angle_alpha 90.00
_cell_angle_beta 91.95
_cell_angle_gamma 90.00
_symmetry_space_group_name_H-M 'P 1 2/m 1'
_symmetry_Int_Tables_number 10
loop_
_symmetry_equiv_pos_as_xyz
'x,y,z'
'-x,-y,-z'
'-x,y,-z'
'x,-y,z'
loop_
_atom_site_label
_atom_site_fract_x
_atom_site_fract_y
_atom_site_fract_z
K1 0.015 0.000 0.248
Zn1 0.500 0.500 0.500
Pb1 0.500 0.500 0.000
```



# 12
Entry from the Alexandria database: an optimized crystal structure of KZn3Pb3 (PBE).

Summary:
ΔH_f (0 K) ... 0.1717 eV per atom

```
data_KZn3Pb3
_cell_length_a 7.815
_cell_length_b 7.815
_cell_length_c 7.815
_cell_angle_alpha 90.00
_cell_angle_beta 90.00
_cell_angle_gamma 90.00
_symmetry_space_group_name_H-M 'P m -3 n'
_symmetry_Int_Tables_number 223
_symmetry_space_group_name_Hall '-P 4n 2 3'
loop_
_atom_site_label
_atom_site_fract_x
_atom_site_fract_y
_atom_site_fract_z
K1 0.000 0.000 0.000
Zn1 0.000 0.250 0.500
Pb1 0.000 0.500 0.250
```



# 13
Entry from the Alexandria database: an optimized crystal structure of K3ZnPb (PBE).

Summary:
ΔH_f (0 K) ... 0.0226 eV per atom
Relative energy among the computed polymorphs ... 0 meV/atom

```
data_K3ZnPb
_cell_length_a 12.919
_cell_length_b 10.611
_cell_length_c 8.400
_cell_angle_alpha 90.00
_cell_angle_beta 129.69
_cell_angle_gamma 90.00
_symmetry_space_group_name_H-M 'C 1 2/m 1'
_symmetry_Int_Tables_number 12
loop_
_symmetry_equiv_pos_as_xyz
'x,y,z'
'-x,-y,-z'
'-x,y,-z'
'x,-y,z'
'x+1/2,y+1/2,z'
'-x+1/2,-y+1/2,-z'
'-x+1/2,y+1/2,-z'
'x+1/2,-y+1/2,z'
loop_
_atom_site_label
_atom_site_fract_x
_atom_site_fract_y
_atom_site_fract_z
K1 0.053 0.000 0.281
K2 0.212 0.302 0.191
Zn1 0.211 0.500 0.843
Pb1 0.071 0.500 0.397
```



# 14
Entry from the Alexandria database: an optimized crystal structure of K2ZnPb (PBE).

Summary:
ΔH_f (0 K) ... 0.1736 eV per atom

```
data_K2ZnPb
_cell_length_a 3.8691
_cell_length_b 3.8691
_cell_length_c 34.9564
_cell_angle_alpha 90.00
_cell_angle_beta 90.00
_cell_angle_gamma 120.00
_symmetry_space_group_name_H-M 'R -3 m'
_symmetry_Int_Tables_number 166
_symmetry_space_group_name_Hall '-R 3 2"'
loop_
_atom_site_label
_atom_site_fract_x
_atom_site_fract_y
_atom_site_fract_z
K1 0.0000 0.0000 0.2482
Zn1 0.0000 0.0000 0.5000
Pb1 0.0000 0.0000 0.0000
```